P) Density functional theory data (PBE-GGA) for an optimized crystal structure of LiPuCd4.

The structure in extended XYZ format:
```
6
Lattice="5.8939 0.0000 0.0000 2.9469 5.1042 0.0000 2.9469 1.7014 4.8123" Properties=species:S:1:pos:R:3 pbc="T T T"
Li 2.9469 1.7014 1.2031
Pu 0.0000 0.0000 0.0000
Cd 4.4260 4.2503 3.0054
Cd 5.8939 1.7079 3.0054
Cd 5.8939 3.4028 0.6084
Cd 7.3617 4.2503 3.0054
```

Its symmetry is No. 216. The value obtained for the total magnetization is 6.2 μB/f.u.


Q) Density functional theory data (PBE-GGA) for an optimized crystal structure of LiPuCd4.

The structure in extended XYZ format:
```
6
Lattice="-2.6280 -1.5228 -0.2608 2.2409 -3.3500 -3.0210 2.0927 -4.9717 7.0656" Properties=species:S:1:pos:R:3 pbc="T T T"
Li 0.8528 -4.9223 1.8919
Cd 2.8321 -5.7720 4.3025
Cd 1.3428 -3.2944 4.6493
Cd -1.8781 -3.2001 2.1555
Pu -1.3140 -0.7614 -0.1304
Cd -1.1265 -4.0725 -0.5186
```

Its symmetry is No. 10. The value obtained for the total magnetization is 5.9 μB/f.u.


Most stable: Q). Least stable: P).


P) Density functional theory data (PBE-GGA) for an optimized crystal structure of LiPuCd.

The structure in extended XYZ format:
```
3
Lattice="2.9631 0.0000 0.0000 0.0000 5.1380 0.0000 0.0000 -2.5690 4.4496" Properties=species:S:1:pos:R:3 pbc="T T T"
Cd 0.4848 0.0000 0.0000
Li 0.5065 2.5690 1.4832
Pu 1.9718 0.0000 2.9664
```

Its symmetry is No. 156. The value obtained for the total magnetization is 5.9 μB/f.u.


Q) Density functional theory data (PBE-GGA) for an optimized crystal structure of LiPuCd.

The structure in extended XYZ format:
```
6
Lattice="-0.0274 -1.4663 3.1070 2.3230 4.5492 0.2678 -2.7109 9.2288 4.3315" Properties=species:S:1:pos:R:3 pbc="T T T"
Li 0.1515 1.4313 0.6768
Cd 0.7116 3.9699 1.8798
Cd -1.1269 8.3419 5.8266
Li -0.5668 10.8804 7.0296
Pu -0.7967 5.3175 4.4022
Pu 0.3814 6.9942 3.3042
```

Its symmetry is No. 12. The value obtained for the total magnetization is 1.6 μB/f.u.


Most stable: P). Least stable: Q).


P) Density functional theory data (PBE-GGA) for an optimized crystal structure of RbLi3Cd.

The structure in extended XYZ format:
```
5
Lattice="-3.0135 -0.2217 4.6027 2.2827 -4.8491 1.2610 4.0029 2.5984 2.7460" Properties=species:S:1:pos:R:3 pbc="T T T"
Li -1.5068 -0.1108 2.3013
Li 1.1414 -2.4246 0.6305
Li 2.0014 1.2992 1.3730
Rb 1.6360 -1.2362 4.3048
Cd 0.0000 0.0000 0.0000
```

Its symmetry is No. 221. The value obtained for the total magnetization is 0.0 μB/f.u.


Q) Density functional theory data (PBE-GGA) for an optimized crystal structure of RbLi3Cd.

The structure in extended XYZ format:
```
5
Lattice="5.6410 0.0000 0.0000 0.0000 5.6410 0.0000 0.0000 0.0000 5.6410" Properties=species:S:1:pos:R:3 pbc="T T T"
Cd 2.8205 2.8205 2.8205
Li 2.8205 0.0000 0.0000
Li 0.0000 0.0000 2.8205
Li 0.0000 2.8205 0.0000
Rb 0.0000 0.0000 0.0000
```

Its symmetry is No. 221. The value obtained for the total magnetization is 0.0 μB/f.u.


Most stable: P). Least stable: Q).


P) Density functional theory data (PBE-GGA) for an optimized crystal structure of RbLiCd2.

The structure in extended XYZ format:
```
8
Lattice="5.8240 0.0000 0.0000 0.0000 5.8240 0.0000 2.9120 2.9120 9.5807" Properties=species:S:1:pos:R:3 pbc="T T T"
Cd 2.9035 1.4560 2.3952
Li 2.9120 5.8240 4.7904
Cd 4.3680 5.8325 7.1855
Cd 2.9205 4.3680 2.3952
Cd 7.2800 5.8155 7.1855
Li 2.9120 2.9120 0.0000
Rb 0.0000 0.0000 0.0000
Rb 5.8240 2.9120 4.7904
```

Its symmetry is No. 122. The value obtained for the total magnetization is 0.0 μB/f.u.


Q) Density functional theory data (PBE-GGA) for an optimized crystal structure of RbLiCd2.

The structure in extended XYZ format:
```
4
Lattice="3.7455 0.0000 0.0000 0.0000 3.7455 0.0000 0.0000 0.0000 8.4929" Properties=species:S:1:pos:R:3 pbc="T T T"
Cd 0.0000 0.0000 1.4640
Li 1.8728 1.8728 0.0000
Cd 0.0000 0.0000 7.0289
Rb 1.8728 1.8728 4.2465
```

Its symmetry is No. 123. The value obtained for the total magnetization is 0.0 μB/f.u.


R) Density functional theory data (PBE-GGA) for an optimized crystal structure of RbLiCd2.

The structure in extended XYZ format:
```
4
Lattice="0.0000 4.0448 4.0448 4.0448 0.0000 4.0448 4.0448 4.0448 0.0000" Properties=species:S:1:pos:R:3 pbc="T T T"
Cd 6.0673 6.0673 6.0673
Li 0.0000 0.0000 0.0000
Rb 4.0448 4.0448 4.0448
Cd 2.0224 2.0224 2.0224
```

Its symmetry is No. 225. The value obtained for the total magnetization is 0.0 μB/f.u.


Most stable: Q). Least stable: R).


P) Density functional theory data (PBE-GGA) for an optimized crystal structure of RbLiCd3.

The structure in extended XYZ format:
```
5
Lattice="5.3590 0.0000 0.0000 0.0000 5.3590 0.0000 0.0000 0.0000 5.3590" Properties=species:S:1:pos:R:3 pbc="T T T"
Li 0.0000 0.0000 0.0000
Cd 0.0000 2.6795 0.0000
Rb 2.6795 2.6795 2.6795
Cd 2.6795 0.0000 0.0000
Cd 0.0000 0.0000 2.6795
```

Its symmetry is No. 221. The value obtained for the total magnetization is 0.0 μB/f.u.


Q) Density functional theory data (PBE-GGA) for an optimized crystal structure of RbLiCd3.

The structure in extended XYZ format:
```
5
Lattice="6.6096 0.0000 0.0000 0.0000 6.6096 0.0000 0.0000 0.0000 6.6096" Properties=species:S:1:pos:R:3 pbc="T T T"
Rb 0.0000 0.0000 0.0000
Cd 0.0000 3.3048 0.0000
Cd 0.0000 0.0000 3.3048
Li 3.3048 3.3048 3.3048
Cd 3.3048 0.0000 0.0000
```

Its symmetry is No. 221. The value obtained for the total magnetization is 0.0 μB/f.u.


Most stable: P). Least stable: Q).


P) Density functional theory data (PBE-GGA) for an optimized crystal structure of RbLi2Cd2.

The structure in extended XYZ format:
```
5
Lattice="4.9989 0.0000 0.0000 0.0000 4.9989 0.0000 2.4995 2.4995 6.0850" Properties=species:S:1:pos:R:3 pbc="T T T"
Cd 4.9989 4.9989 4.5737
Li 2.4995 4.9989 3.0425
Cd 2.4995 2.4995 1.5112
Li 4.9989 2.4995 3.0425
Rb 0.0000 0.0000 0.0000
```

Its symmetry is No. 139. The value obtained for the total magnetization is 0.0 μB/f.u.


Q) Density functional theory data (PBE-GGA) for an optimized crystal structure of RbLi2Cd2.

The structure in extended XYZ format:
```
10
Lattice="8.9633 0.0000 0.0000 0.0000 8.9633 0.0000 0.0000 0.0000 3.2703" Properties=species:S:1:pos:R:3 pbc="T T T"
Rb 4.4817 4.4817 0.0000
Li 1.4432 3.0385 0.0000
Cd 7.8565 3.3748 1.6351
Rb 0.0000 0.0000 0.0000
Cd 1.1069 5.5885 1.6351
Li 5.9248 1.4432 0.0000
Cd 5.5885 7.8565 1.6351
Li 7.5201 5.9248 0.0000
Li 3.0385 7.5201 0.0000
Cd 3.3748 1.1069 1.6351
```

Its symmetry is No. 127. The value obtained for the total magnetization is 0.0 μB/f.u.


Most stable: Q). Least stable: P).